[1]
4
Lattice="4.3666 0.0000 0.0000 2.1833 3.7816 0.0000 2.1833 1.2605 3.5653" Properties=species:S:1:pos:R:3 comment="MgPOs2, relaxed, DFT PBE-GGA" m_tot_mub_per_cell=0.00 density_g_cm3=12.290 space_group="No. 216" relative_energy_mev_per_atom=406 formation_energy_ev_per_atom=0.46 pbc="T T T"
Mg 4.3666 2.5210 1.7827
Os 0.0000 0.0000 0.0000
Os 2.1833 1.2605 0.8913
P 6.5499 3.7816 2.6740

[2]
4
Lattice="-0.8521 3.4813 -2.4064 0.6257 -0.1216 -4.2696 -3.3856 -0.0035 -2.6784" Properties=species:S:1:pos:R:3 comment="MgP2Os, relaxed, DFT PBE-GGA" m_tot_mub_per_cell=0.00 density_g_cm3=8.070 space_group="No. 216" formation_energy_ev_per_atom=0.49 pbc="T T T"
Mg -1.8060 1.6781 -4.6772
Os -2.7090 2.5171 -7.0159
P 0.0000 0.0000 0.0000
P -0.9030 0.8390 -2.3386

Please write out number 2 again, unchanged.
4
Lattice="-0.8521 3.4813 -2.4064 0.6257 -0.1216 -4.2696 -3.3856 -0.0035 -2.6784" Properties=species:S:1:pos:R:3 comment="MgP2Os, relaxed, DFT PBE-GGA" m_tot_mub_per_cell=0.00 density_g_cm3=8.070 space_group="No. 216" formation_energy_ev_per_atom=0.49 pbc="T T T"
Mg -1.8060 1.6781 -4.6772
Os -2.7090 2.5171 -7.0159
P 0.0000 0.0000 0.0000
P -0.9030 0.8390 -2.3386